[1]
KSbPb | GGA-PBEsol | optimized geometry

a b c (Å): 3.9859 3.9859 12.4499
angles (deg): 90.00 90.00 90.00
Fractional positions:
K  0.0000  0.0000  0.0000
K  0.5000  0.5000  0.5000
Sb  0.0000  0.0000  0.3092
Sb  0.5000  0.5000  0.8092
Pb  0.0000  0.0000  0.7012
Pb  0.5000  0.5000  0.2012

Output
DOS at the Fermi energy, states/eV/f.u.: 1.392
E_tot, eV per atom: -3.44
Space-group type: No. 107
Raw formation energy, eV/atom: -0.21
Magnetic moment, Bohr magnetons per cell: 0.00

=====

[2]
KSb2Pb2 | GGA-PBEsol | optimized geometry

a b c (Å): 5.5934 5.5934 11.3925
angles (deg): 90.00 90.00 90.00
Fractional positions:
K  0.0000  0.0000  0.0000
K  0.5000  0.5000  0.5000
Sb  0.0000  0.5000  0.2500
Sb  0.0000  0.5000  0.7500
Sb  0.5000  0.0000  0.2500
Sb  0.5000  0.0000  0.7500
Pb  0.0000  0.0000  0.3614
Pb  0.0000  0.0000  0.6386
Pb  0.5000  0.5000  0.1386
Pb  0.5000  0.5000  0.8614

Output
DOS at the Fermi energy, states/eV/f.u.: 3.477
E_tot, eV per atom: -3.72
Space-group type: No. 139
Relative energy among the computed polymorphs, meV per atom: 21.5
Raw formation energy, eV/atom: -0.07
Magnetic moment, Bohr magnetons per cell: 0.00

=====

[3]
KSb2Pb2 | GGA-PBEsol | optimized geometry

a b c (Å): 8.9600 8.9600 3.9224
angles (deg): 90.00 90.00 90.00
Fractional positions:
K  0.0000  0.0000  0.0000
K  0.5000  0.5000  0.0000
Sb  0.1561  0.3439  0.5000
Sb  0.3439  0.8439  0.5000
Sb  0.6561  0.1561  0.5000
Sb  0.8439  0.6561  0.5000
Pb  0.1303  0.6303  0.0000
Pb  0.3697  0.1303  0.0000
Pb  0.6303  0.8697  0.0000
Pb  0.8697  0.3697  0.0000

Output
DOS at the Fermi energy, states/eV/f.u.: 2.156
E_tot, eV per atom: -3.74
Space-group type: No. 127
Relative energy among the computed polymorphs, meV per atom: 0.0
Raw formation energy, eV/atom: -0.09
Magnetic moment, Bohr magnetons per cell: 0.00

=====

[4]
KSb2Pb | GGA-PBEsol | optimized geometry

a b c (Å): 3.2105 5.6578 6.5417
angles (deg): 90.00 90.00 90.00
Fractional positions:
K  0.0000  0.0000  0.0000
Sb  0.5000  0.0000  0.4928
Sb  0.5000  0.5000  0.2620
Pb  0.5000  0.5000  0.7350

Output
DOS at the Fermi energy, states/eV/f.u.: 1.669
E_tot, eV per atom: -3.69
Space-group type: No. 25
Raw formation energy, eV/atom: -0.13
Magnetic moment, Bohr magnetons per cell: 0.00

=====

[5]
KSb2Pb | GGA-PBEsol | optimized geometry

a b c (Å): 4.8445 4.8445 9.8881
angles (deg): 90.00 90.00 90.00
Fractional positions:
K  0.0000  0.0000  0.0000
K  0.5000  0.5000  0.5000
Sb  0.0000  0.0000  0.5000
Sb  0.0000  0.5000  0.7500
Sb  0.5000  0.0000  0.2500
Sb  0.5000  0.5000  0.0000
Pb  0.0000  0.5000  0.2500
Pb  0.5000  0.0000  0.7500

Output
DOS at the Fermi energy, states/eV/f.u.: 2.428
E_tot, eV per atom: -3.59
Space-group type: No. 119
Raw formation energy, eV/atom: -0.03
Magnetic moment, Bohr magnetons per cell: 0.00

=====

[6]
KSb2Pb | GGA-PBEsol | optimized geometry

a b c (Å): 4.3079 4.3079 7.0849
angles (deg): 90.00 90.00 90.00
Fractional positions:
K  0.0000  0.0000  0.0000
Sb  0.5000  0.5000  0.3042
Sb  0.5000  0.5000  0.6958
Pb  0.0000  0.0000  0.5000

Output
DOS at the Fermi energy, states/eV/f.u.: 1.249
E_tot, eV per atom: -3.73
Space-group type: No. 123
Raw formation energy, eV/atom: -0.17
Magnetic moment, Bohr magnetons per cell: 0.00

=====

[7]
KSb2Pb | GGA-PBEsol | optimized geometry

a b c (Å): 11.1255 4.0198 6.1869
angles (deg): 90.00 105.43 90.00
Fractional positions:
K  0.0000  0.0000  0.0000
K  0.5000  0.5000  0.0000
Sb  0.2396  0.0000  0.6670
Sb  0.2604  0.5000  0.3330
Sb  0.7396  0.5000  0.6670
Sb  0.7604  0.0000  0.3330
Pb  0.0000  0.5000  0.5000
Pb  0.5000  0.0000  0.5000

Output
DOS at the Fermi energy, states/eV/f.u.: 1.790
E_tot, eV per atom: -3.70
Space-group type: No. 12
Raw formation energy, eV/atom: -0.14
Magnetic moment, Bohr magnetons per cell: 0.00

=====

[8]
KSbPb | GGA-PBEsol | optimized geometry

a b c (Å): 4.4979 4.4979 6.3032
angles (deg): 90.00 90.00 120.00
Fractional positions:
K  0.0000  0.0000  0.0000
Sb  0.6667  0.3333  0.3604
Pb  0.3333  0.6667  0.5913

Output
DOS at the Fermi energy, states/eV/f.u.: 0.033
E_tot, eV per atom: -3.49
Space-group type: No. 156
Raw formation energy, eV/atom: -0.26
Magnetic moment, Bohr magnetons per cell: 0.00